<i>
## LaSc2Re (GGA-PBE)

Data for LaSc2Re after structural relaxation.

abc: 3.4699 5.2039 10.3508
angles: 90.00 90.00 90.00
Closest atoms and distances in Å follow each position.
Fractional coordinates of all 8 atoms:
La 0.0000 0.0000 0.0000  2 Re 2.88, 4 La 3.13
La 0.5000 0.5000 0.0000  2 Re 2.88, 4 La 3.13
Sc 0.0000 0.0000 0.4178  2 Re 2.67
Sc 0.0000 0.5000 0.6840  8 Sc 3.13-3.47
Sc 0.5000 0.0000 0.6840  8 Sc 3.13-3.47
Sc 0.5000 0.5000 0.4178  2 Re 2.67
Re 0.0000 0.5000 0.2217  2 Sc 2.67, 2 La 2.88
Re 0.5000 0.0000 0.2217  2 Sc 2.67, 2 La 2.88

<ii>
## LaSc2Re (GGA-PBE)

Data for LaSc2Re after structural relaxation.

abc: 3.5151 5.0772 10.4363
angles: 90.00 90.00 90.00
Closest atoms and distances in Å follow each position.
Fractional coordinates of all 8 atoms:
La 0.0000 0.0000 0.0000  2 Re 2.86
La 0.5000 0.5000 0.5000  2 Re 2.86
Sc 0.0000 0.0000 0.4087  2 Re 2.67
Sc 0.0000 0.5000 0.2105  4 Re 3.09, 2 Sc 3.27, 2 La 3.36
Sc 0.5000 0.0000 0.7105  4 Re 3.09, 2 Sc 3.27, 2 La 3.36
Sc 0.5000 0.5000 0.9087  2 Re 2.67
Re 0.0000 0.5000 0.7160  2 Sc 2.67, 2 La 2.86
Re 0.5000 0.0000 0.2160  2 Sc 2.67, 2 La 2.86

Stability, highest: <ii>

<i>
## LaReSe3 (GGA-PBE)

Data for LaReSe3 after structural relaxation.

abc: 5.7301 5.7301 5.7301
angles: 90.00 90.00 90.00
Closest atoms and distances in Å follow each position.
Fractional coordinates of all 5 atoms:
La 0.0000 0.0000 0.0000  6 Se 2.87
Re 0.5000 0.5000 0.5000  12 Se 4.05
Se 0.0000 0.0000 0.5000  2 La 2.87
Se 0.0000 0.5000 0.0000  2 La 2.87
Se 0.5000 0.0000 0.0000  2 La 2.87

<ii>
## LaReSe3 (GGA-PBE)

Data for LaReSe3 after structural relaxation.

abc: 4.9711 4.9711 4.9711
angles: 90.00 90.00 90.00
Closest atoms and distances in Å follow each position.
Fractional coordinates of all 5 atoms:
La 0.0000 0.0000 0.0000  12 Se 3.52
Re 0.5000 0.5000 0.5000  6 Se 2.49
Se 0.0000 0.5000 0.5000  2 Re 2.49
Se 0.5000 0.0000 0.5000  2 Re 2.49
Se 0.5000 0.5000 0.0000  2 Re 2.49

Stability, highest: <ii>

<i>
## LaReSe (GGA-PBE)

Data for LaReSe after structural relaxation.

abc: 4.3900 4.3900 4.0059
angles: 90.00 90.00 120.00
Closest atoms and distances in Å follow each position.
Fractional coordinates of all 3 atoms:
La 0.0000 0.0000 0.0000  6 Se 3.23, 6 Re 3.23
Re 0.6667 0.3333 0.5000  3 Se 2.53
Se 0.3333 0.6667 0.5000  3 Re 2.53

<ii>
## LaReSe (GGA-PBE)

Data for LaReSe after structural relaxation.

abc: 3.2771 3.2771 11.6496
angles: 90.00 90.00 90.00
Closest atoms and distances in Å follow each position.
Fractional coordinates of all 6 atoms:
La 0.0000 0.0000 0.0000  4 Re 3.20, 4 La 3.28, 5 Se 3.36-3.40
La 0.5000 0.5000 0.5000  4 Re 3.20, 4 La 3.28, 5 Se 3.36-3.40
Re 0.0000 0.0000 0.3109  4 Se 2.61
Re 0.5000 0.5000 0.8109  4 Se 2.61
Se 0.0000 0.0000 0.7083  4 Re 2.61
Se 0.5000 0.5000 0.2083  4 Re 2.61

Stability, highest: <i>

<i>
## LaReSe (GGA-PBE)

Data for LaReSe after structural relaxation.

abc: 3.2637 3.2637 7.0967
angles: 90.00 90.00 120.00
Closest atoms and distances in Å follow each position.
Fractional coordinates of all 3 atoms:
La 0.0000 0.0000 0.0000  6 La 3.26, 3 Re 3.29, 3 Se 3.38
Re 0.6667 0.3333 0.3803  3 Se 2.47
Se 0.3333 0.6667 0.6054  3 Re 2.47

<ii>
## LaReSe (GGA-PBE)

Data for LaReSe after structural relaxation.

abc: 7.1217 7.1217 7.1217
angles: 90.00 90.00 90.00
Closest atoms and distances in Å follow each position.
Fractional coordinates of all 12 atoms:
La 0.0000 0.0000 0.0000  4 Se 3.08, 4 Re 3.08
La 0.0000 0.5000 0.5000  4 Se 3.08, 4 Re 3.08
La 0.5000 0.0000 0.5000  4 Se 3.08, 4 Re 3.08
La 0.5000 0.5000 0.0000  4 Se 3.08, 4 Re 3.08
Re 0.2500 0.2500 0.7500  4 La 3.08
Re 0.2500 0.7500 0.2500  4 La 3.08
Re 0.7500 0.2500 0.2500  4 La 3.08
Re 0.7500 0.7500 0.7500  4 La 3.08
Se 0.2500 0.2500 0.2500  4 La 3.08
Se 0.2500 0.7500 0.7500  4 La 3.08
Se 0.7500 0.2500 0.7500  4 La 3.08
Se 0.7500 0.7500 0.2500  4 La 3.08

Stability, highest: <i>

<i>
## LaReSe2 (GGA-PBE)

Data for LaReSe2 after structural relaxation.

abc: 4.1833 5.7985 7.0186
angles: 90.00 90.00 90.00
Closest atoms and distances in Å follow each position.
Fractional coordinates of all 8 atoms:
La 0.0000 0.0000 0.0000  4 Se 2.90
La 0.5000 0.5000 0.0000  4 Se 2.90
Re 0.0000 0.0000 0.5000  4 Se 2.57
Re 0.5000 0.5000 0.5000  4 Se 2.57
Se 0.0000 0.5000 0.2862  2 Re 2.57
Se 0.0000 0.5000 0.7138  2 Re 2.57
Se 0.5000 0.0000 0.2862  2 Re 2.57
Se 0.5000 0.0000 0.7138  2 Re 2.57

<ii>
## LaReSe2 (GGA-PBE)

Data for LaReSe2 after structural relaxation.

abc: 3.3127 3.3127 28.6760
angles: 90.00 90.00 120.00
Closest atoms and distances in Å follow each position.
Fractional coordinates of all 12 atoms:
La 0.0000 0.0000 0.0000  2 Se 3.06, 6 La 3.31
La 0.3333 0.6667 0.6667  2 Se 3.06, 6 La 3.31
La 0.6667 0.3333 0.3333  2 Se 3.06, 6 La 3.31
Re 0.0000 0.0000 0.5000  6 Se 2.57
Re 0.3333 0.6667 0.1667  6 Se 2.57
Re 0.6667 0.3333 0.8333  6 Se 2.57
Se 0.0000 0.0000 0.1068  3 Re 2.57
Se 0.0000 0.0000 0.8932  3 Re 2.57
Se 0.3333 0.6667 0.5599  3 Re 2.57
Se 0.3333 0.6667 0.7735  3 Re 2.57
Se 0.6667 0.3333 0.2265  3 Re 2.57
Se 0.6667 0.3333 0.4401  3 Re 2.57

<iii>
## LaReSe2 (GGA-PBE)

Data for LaReSe2 after structural relaxation.

abc: 3.7952 4.5489 5.8657
angles: 90.00 108.81 90.00
Closest atoms and distances in Å follow each position.
Fractional coordinates of all 4 atoms:
La 0.0000 0.0000 0.0000  7 Se 3.07-3.12, 4 Re 3.42
Re 0.6535 0.5000 0.3083  3 Se 2.40-2.50
Se 0.4292 0.5000 0.8578  1 Re 2.50
Se 0.7214 0.0000 0.4449  2 Re 2.40

Stability, highest: <iii>

<i>
## LaReSe2 (GGA-PBE)

Data for LaReSe2 after structural relaxation.

abc: 3.8147 4.0883 5.7863
angles: 90.00 95.91 90.00
Closest atoms and distances in Å follow each position.
Fractional coordinates of all 4 atoms:
La 0.0000 0.0000 0.0000  4 Se 3.01, 2 Re 3.30
Re 0.5000 0.0000 0.5000  4 Se 2.51
Se 0.3617 0.5000 0.7250  2 Re 2.51
Se 0.6383 0.5000 0.2750  2 Re 2.51

<ii>
## LaReSe2 (GGA-PBE)

Data for LaReSe2 after structural relaxation.

abc: 11.1908 3.3864 5.4559
angles: 90.00 113.90 90.00
Closest atoms and distances in Å follow each position.
Fractional coordinates of all 8 atoms:
La 0.0000 0.0000 0.0000  7 Se 3.04-3.39, 3 Re 3.18-3.30, 2 La 3.39
La 0.5000 0.5000 0.0000  7 Se 3.04-3.39, 3 Re 3.18-3.30, 2 La 3.39
Re 0.2772 0.5000 0.2214  4 Se 2.52
Re 0.7772 0.0000 0.2214  4 Se 2.52
Se 0.2352 0.0000 0.8545  2 Re 2.52
Se 0.4472 0.0000 0.4853  2 Re 2.52
Se 0.7352 0.5000 0.8545  2 Re 2.52
Se 0.9472 0.5000 0.4853  2 Re 2.52

<iii>
## LaReSe2 (GGA-PBE)

Data for LaReSe2 after structural relaxation.

abc: 3.6142 3.6142 6.6245
angles: 90.00 90.00 90.00
Closest atoms and distances in Å follow each position.
Fractional coordinates of all 4 atoms:
La 0.0000 0.0000 0.0000  5 Se 2.98-3.10
Re 0.5000 0.5000 0.3514  5 Se 2.67-2.76
Se 0.0000 0.0000 0.4675  4 Re 2.67
Se 0.5000 0.5000 0.7682  1 Re 2.76, 4 La 2.98

<iv>
## LaReSe2 (GGA-PBE)

Data for LaReSe2 after structural relaxation.

abc: 4.1877 4.1877 16.6179
angles: 90.00 90.00 120.00
Closest atoms and distances in Å follow each position.
Fractional coordinates of all 12 atoms:
La 0.0000 0.0000 0.0000  6 Se 2.99
La 0.3333 0.6667 0.6667  6 Se 2.99
La 0.6667 0.3333 0.3333  6 Se 2.99
Re 0.0000 0.0000 0.5000  6 Se 2.62
Re 0.3333 0.6667 0.1667  6 Se 2.62
Re 0.6667 0.3333 0.8333  6 Se 2.62
Se 0.0000 0.0000 0.2273  3 Re 2.62
Se 0.0000 0.0000 0.7727  3 Re 2.62
Se 0.3333 0.6667 0.4393  3 Re 2.62
Se 0.3333 0.6667 0.8940  3 Re 2.62
Se 0.6667 0.3333 0.1060  3 Re 2.62
Se 0.6667 0.3333 0.5607  3 Re 2.62

Stability, highest: <iv>

<i>
## LaReSi3 (GGA-PBE)

Data for LaReSi3 after structural relaxation.

abc: 5.0764 5.0764 5.0764
angles: 90.00 90.00 90.00
Closest atoms and distances in Å follow each position.
Fractional coordinates of all 5 atoms:
La 0.0000 0.0000 0.0000  6 Si 2.54
Re 0.5000 0.5000 0.5000  12 Si 3.59
Si 0.0000 0.0000 0.5000  2 La 2.54
Si 0.0000 0.5000 0.0000  2 La 2.54
Si 0.5000 0.0000 0.0000  2 La 2.54

<ii>
## LaReSi3 (GGA-PBE)

Data for LaReSi3 after structural relaxation.

abc: 4.7135 4.7135 4.7135
angles: 90.00 90.00 90.00
Closest atoms and distances in Å follow each position.
Fractional coordinates of all 5 atoms:
La 0.0000 0.0000 0.0000  12 Si 3.33
Re 0.5000 0.5000 0.5000  6 Si 2.36
Si 0.0000 0.5000 0.5000  2 Re 2.36
Si 0.5000 0.0000 0.5000  2 Re 2.36
Si 0.5000 0.5000 0.0000  2 Re 2.36

<iii>
## LaReSi3 (GGA-PBE)

Data for LaReSi3 after structural relaxation.

abc: 4.3328 4.3328 10.1025
angles: 90.00 90.00 90.00
Closest atoms and distances in Å follow each position.
Fractional coordinates of all 10 atoms:
La 0.0000 0.0000 0.0000  12 Si 3.16-3.42, 5 Re 3.45-3.47
La 0.5000 0.5000 0.5000  12 Si 3.16-3.42, 5 Re 3.45-3.47
Re 0.0000 0.0000 0.6568  5 Si 2.38-2.42
Re 0.5000 0.5000 0.1568  5 Si 2.38-2.42
Si 0.0000 0.0000 0.4216  1 Re 2.38
Si 0.0000 0.5000 0.2625  2 Re 2.42, 2 Si 2.70
Si 0.0000 0.5000 0.7625  2 Re 2.42, 2 Si 2.70
Si 0.5000 0.0000 0.2625  2 Re 2.42, 2 Si 2.70
Si 0.5000 0.0000 0.7625  2 Re 2.42, 2 Si 2.70
Si 0.5000 0.5000 0.9216  1 Re 2.38

Stability, highest: <iii>

<i>
## LaRe3Si (GGA-PBE)

Data for LaRe3Si after structural relaxation.

abc: 4.5998 4.5998 4.5998
angles: 90.00 90.00 90.00
Closest atoms and distances in Å follow each position.
Fractional coordinates of all 5 atoms:
La 0.0000 0.0000 0.0000  12 Re 3.25
Re 0.0000 0.5000 0.5000  2 Si 2.30
Re 0.5000 0.0000 0.5000  2 Si 2.30
Re 0.5000 0.5000 0.0000  2 Si 2.30
Si 0.5000 0.5000 0.5000  6 Re 2.30

<ii>
## LaRe3Si (GGA-PBE)

Data for LaRe3Si after structural relaxation.

abc: 4.8366 4.8366 4.8366
angles: 90.00 90.00 90.00
Closest atoms and distances in Å follow each position.
Fractional coordinates of all 5 atoms:
La 0.0000 0.0000 0.0000  6 Re 2.42
Re 0.0000 0.0000 0.5000  2 La 2.42
Re 0.0000 0.5000 0.0000  2 La 2.42
Re 0.5000 0.0000 0.0000  2 La 2.42
Si 0.5000 0.5000 0.5000  12 Re 3.42

Stability, highest: <i>

<i>
## LaRe3Si3 (GGA-PBE)

Data for LaRe3Si3 after structural relaxation.

abc: 7.3134 4.4349 8.8476
angles: 90.00 113.22 90.00
Closest atoms and distances in Å follow each position.
Fractional coordinates of all 14 atoms:
La 0.2190 0.2500 0.4232  6 Si 2.88-3.13
La 0.7810 0.7500 0.5768  6 Si 2.88-3.13
Re 0.2429 0.7500 0.9670  5 Si 2.47-2.56, 2 Re 2.73
Re 0.3395 0.2500 0.8343  4 Si 2.58-2.74, 6 Re 2.70-2.86
Re 0.4431 0.2500 0.1632  4 Si 2.42-2.53, 1 Re 2.70
Re 0.5569 0.7500 0.8368  4 Si 2.42-2.53, 1 Re 2.70
Re 0.6605 0.7500 0.1657  4 Si 2.58-2.74, 6 Re 2.70-2.86
Re 0.7571 0.2500 0.0330  5 Si 2.47-2.56, 2 Re 2.73
Si 0.0796 0.2500 0.9882  5 Re 2.49-2.74, 2 Si 2.55
Si 0.2045 0.7500 0.6682  4 Re 2.42-2.63
Si 0.3780 0.7500 0.2705  4 Re 2.47-2.58
Si 0.6220 0.2500 0.7295  4 Re 2.47-2.58
Si 0.7955 0.2500 0.3318  4 Re 2.42-2.63
Si 0.9204 0.7500 0.0118  5 Re 2.49-2.74, 2 Si 2.55

<ii>
## LaRe3Si3 (GGA-PBE)

Data for LaRe3Si3 after structural relaxation.

abc: 6.6430 6.6430 6.6430
angles: 90.00 90.00 90.00
Closest atoms and distances in Å follow each position.
Fractional coordinates of all 14 atoms:
La 0.0000 0.0000 0.0000  12 Re 3.71, 12 Si 3.71
La 0.5000 0.5000 0.5000  12 Re 3.71, 12 Si 3.71
Re 0.0000 0.2500 0.5000  4 Si 2.35
Re 0.0000 0.7500 0.5000  4 Si 2.35
Re 0.2500 0.5000 0.0000  4 Si 2.35
Re 0.5000 0.0000 0.2500  4 Si 2.35
Re 0.5000 0.0000 0.7500  4 Si 2.35
Re 0.7500 0.5000 0.0000  4 Si 2.35
Si 0.0000 0.5000 0.2500  4 Re 2.35
Si 0.0000 0.5000 0.7500  4 Re 2.35
Si 0.2500 0.0000 0.5000  4 Re 2.35
Si 0.5000 0.2500 0.0000  4 Re 2.35
Si 0.5000 0.7500 0.0000  4 Re 2.35
Si 0.7500 0.0000 0.5000  4 Re 2.35

Stability, highest: <i>

<i>
## SrLa3Re (GGA-PBE)

Data for SrLa3Re after structural relaxation.

abc: 5.5170 5.5170 5.5170
angles: 90.00 90.00 90.00
Closest atoms and distances in Å follow each position.
Fractional coordinates of all 5 atoms:
Sr 0.0000 0.0000 0.0000  6 La 2.76
La 0.0000 0.0000 0.5000  2 Sr 2.76
La 0.0000 0.5000 0.0000  2 Sr 2.76
La 0.5000 0.0000 0.0000  2 Sr 2.76
Re 0.5000 0.5000 0.5000  12 La 3.90

<ii>
## SrLa3Re (GGA-PBE)

Data for SrLa3Re after structural relaxation.

abc: 5.7556 5.7556 5.7556
angles: 90.00 90.00 90.00
Closest atoms and distances in Å follow each position.
Fractional coordinates of all 5 atoms:
Sr 0.0000 0.0000 0.0000  12 La 4.07
La 0.0000 0.5000 0.5000  2 Re 2.88
La 0.5000 0.0000 0.5000  2 Re 2.88
La 0.5000 0.5000 0.0000  2 Re 2.88
Re 0.5000 0.5000 0.5000  6 La 2.88

Stability, highest: <ii>

<i>
## Sr2LaRe (GGA-PBE)

Data for Sr2LaRe after structural relaxation.

abc: 3.2781 5.3483 6.6506
angles: 90.00 90.00 90.00
Closest atoms and distances in Å follow each position.
Fractional coordinates of all 4 atoms:
Sr 0.0000 0.0000 0.2259  3 Sr 3.00-3.28
Sr 0.0000 0.0000 0.7741  3 Sr 3.00-3.28
La 0.5000 0.5000 0.5000  2 La 3.28, 2 Re 3.33, 8 Sr 3.63
Re 0.5000 0.5000 0.0000  2 Re 3.28, 2 La 3.33, 8 Sr 3.48

<ii>
## Sr2LaRe (GGA-PBE)

Data for Sr2LaRe after structural relaxation.

abc: 7.7800 7.7800 7.7800
angles: 90.00 90.00 90.00
Closest atoms and distances in Å follow each position.
Fractional coordinates of all 16 atoms:
Sr 0.2500 0.2500 0.2500  4 La 3.37, 4 Re 3.37
Sr 0.2500 0.2500 0.7500  4 La 3.37, 4 Re 3.37
Sr 0.2500 0.7500 0.2500  4 La 3.37, 4 Re 3.37
Sr 0.2500 0.7500 0.7500  4 La 3.37, 4 Re 3.37
Sr 0.7500 0.2500 0.2500  4 La 3.37, 4 Re 3.37
Sr 0.7500 0.2500 0.7500  4 La 3.37, 4 Re 3.37
Sr 0.7500 0.7500 0.2500  4 La 3.37, 4 Re 3.37
Sr 0.7500 0.7500 0.7500  4 La 3.37, 4 Re 3.37
La 0.0000 0.0000 0.0000  8 Sr 3.37
La 0.0000 0.5000 0.5000  8 Sr 3.37
La 0.5000 0.0000 0.5000  8 Sr 3.37
La 0.5000 0.5000 0.0000  8 Sr 3.37
Re 0.0000 0.0000 0.5000  8 Sr 3.37
Re 0.0000 0.5000 0.0000  8 Sr 3.37
Re 0.5000 0.0000 0.0000  8 Sr 3.37
Re 0.5000 0.5000 0.5000  8 Sr 3.37

<iii>
## Sr2LaRe (GGA-PBE)

Data for Sr2LaRe after structural relaxation.

abc: 4.7763 4.7763 21.9049
angles: 90.00 90.00 120.00
Closest atoms and distances in Å follow each position.
Fractional coordinates of all 12 atoms:
Sr 0.0000 0.0000 0.0000  3 La 3.44, 3 Re 3.46
Sr 0.0000 0.0000 0.1921  3 Re 3.47, 3 La 3.49
Sr 0.3333 0.6667 0.6667  3 La 3.44, 3 Re 3.46
Sr 0.3333 0.6667 0.8587  3 Re 3.47, 3 La 3.49
Sr 0.6667 0.3333 0.3333  3 La 3.44, 3 Re 3.46
Sr 0.6667 0.3333 0.5254  3 Re 3.47, 3 La 3.49
La 0.0000 0.0000 0.7609  3 Re 2.76
La 0.3333 0.6667 0.4276  3 Re 2.76
La 0.6667 0.3333 0.0942  3 Re 2.76
Re 0.0000 0.0000 0.4290  3 La 2.76
Re 0.3333 0.6667 0.0956  3 La 2.76
Re 0.6667 0.3333 0.7623  3 La 2.76

<iv>
## Sr2LaRe (GGA-PBE)

Data for Sr2LaRe after structural relaxation.

abc: 4.6732 4.6732 5.4515
angles: 90.00 90.00 90.00
Closest atoms and distances in Å follow each position.
Fractional coordinates of all 4 atoms:
Sr 0.0000 0.5000 0.0000  4 Sr 3.30, 4 La 3.59, 4 Re 3.59
Sr 0.5000 0.0000 0.0000  4 Sr 3.30, 4 La 3.59, 4 Re 3.59
La 0.0000 0.0000 0.5000  4 Re 3.30, 8 Sr 3.59
Re 0.5000 0.5000 0.5000  4 La 3.30, 8 Sr 3.59

Stability, highest: <iii>